VASP calculation (PBE-GGA) on a geometry-optimized Co2SiNi structure.

Cell lengths 4.690, 4.690, 4.690 Å; angles 146.01, 129.86, 61.97 degrees
Last column: magnetic moment on the atom in μB.
Fractional coordinates of all 4 atoms:
Co  0.023  0.023  0.000  1.12
Co  0.477  0.477  0.000  1.12
Ni  0.750  0.250  0.500  0.21
Si  0.250  0.750  0.500  -0.03

calculated volume: 11.0 Å³/atom
total energy: -6.592 eV/atom
total magnetization: 2.4 Bohr magnetons per cell
formation energy from raw total energies: -238 meV per atom